Entry from the Alexandria database: a PBEsol-optimized structure of FeSiPd2Ru (SCAN).

Space group ... P4/mmm, No. 123
Energy relative to the elements, uncorrected ... 1.18 eV/atom

Lattice parameters (Å, degrees): 4.4994 4.4994 4.2020 90.00 90.00 90.00
Closest atoms and distances in Å follow each position.
Element x y z (fractional)
Fe (0.0000, 0.0000, 0.0000)  2 Ru 2.10, 4 Pd 2.25
Si (0.5000, 0.5000, 0.5000)  8 Pd 3.08, 4 Ru 3.18
Pd (0.0000, 0.5000, 0.0000)  2 Fe 2.25
Pd (0.5000, 0.0000, 0.0000)  2 Fe 2.25
Ru (0.0000, 0.0000, 0.5000)  2 Fe 2.10

Entry from the Alexandria database: a PBEsol-optimized structure of CaTeWI2 (SCAN).

Space group ... P4/mmm, No. 123
Energy relative to the elements, uncorrected ... 0.81 eV/atom

Lattice parameters (Å, degrees): 5.6785 5.6785 6.0241 90.00 90.00 90.00
Closest atoms and distances in Å follow each position.
Element x y z (fractional)
Ca (0.0000, 0.0000, 0.0000)  4 I 2.84, 2 Te 3.01
Te (0.0000, 0.0000, 0.5000)  2 Ca 3.01
W (0.5000, 0.5000, 0.5000)  4 Te 4.02, 8 I 4.14
I (0.0000, 0.5000, 0.0000)  2 Ca 2.84
I (0.5000, 0.0000, 0.0000)  2 Ca 2.84

Entry from the Alexandria database: a PBEsol-optimized structure of MgTiMnS4 (SCAN).

Space group ... Imma, No. 74
Energy relative to the elements, uncorrected ... -1.37 eV/atom

Lattice parameters (Å, degrees): 7.2874 7.2874 7.2874 121.80 120.62 87.92
Closest atoms and distances in Å follow each position.
Element x y z (fractional)
Mg (0.3699, 0.1199, 0.2500)  4 S 2.41-2.42
Mg (0.6301, 0.8801, 0.7500)  4 S 2.41-2.42
Ti (0.0000, 0.0000, 0.5000)  6 S 2.44-2.45
Ti (0.0000, 0.5000, 0.0000)  6 S 2.44-2.45
Mn (0.0000, 0.5000, 0.5000)  6 S 2.43-2.54
Mn (0.5000, 0.5000, 0.0000)  6 S 2.43-2.54
S (0.2231, 0.7413, 0.4817)  1 Mg 2.42, 2 Ti 2.44, 1 Mn 2.54
S (0.2330, 0.2559, 0.5229)  1 Mg 2.41, 2 Mn 2.43, 1 Ti 2.45
S (0.2330, 0.7102, 0.9771)  1 Mg 2.41, 2 Mn 2.43, 1 Ti 2.45
S (0.2404, 0.2587, 0.9817)  1 Mg 2.42, 2 Ti 2.44, 1 Mn 2.54
S (0.7596, 0.7413, 0.0183)  1 Mg 2.42, 2 Ti 2.44, 1 Mn 2.54
S (0.7670, 0.2898, 0.0229)  1 Mg 2.41, 2 Mn 2.43, 1 Ti 2.45
S (0.7670, 0.7441, 0.4771)  1 Mg 2.41, 2 Mn 2.43, 1 Ti 2.45
S (0.7769, 0.2587, 0.5183)  1 Mg 2.42, 2 Ti 2.44, 1 Mn 2.54

Entry from the Alexandria database: a PBEsol-optimized structure of Cr4Ni (SCAN).

DFT formation energy ... 6.82 eV per formula unit
ΔE to the lowest computed polymorph ... 1310.7 meV per atom
Space group ... Im-3m, No. 229

Lattice parameters (Å, degrees): 5.1281 5.1281 5.1281 90.00 90.00 90.00
Closest atoms and distances in Å follow each position.
Element x y z (fractional)
Cr (0.2500, 0.2500, 0.2500)  2 Ni 2.22
Cr (0.2500, 0.2500, 0.7500)  2 Ni 2.22
Cr (0.2500, 0.7500, 0.2500)  2 Ni 2.22
Cr (0.2500, 0.7500, 0.7500)  2 Ni 2.22
Cr (0.7500, 0.2500, 0.2500)  2 Ni 2.22
Cr (0.7500, 0.2500, 0.7500)  2 Ni 2.22
Cr (0.7500, 0.7500, 0.2500)  2 Ni 2.22
Cr (0.7500, 0.7500, 0.7500)  2 Ni 2.22
Ni (0.0000, 0.0000, 0.0000)  8 Cr 2.22
Ni (0.5000, 0.5000, 0.5000)  8 Cr 2.22

Entry from the Alexandria database: a PBEsol-optimized structure of Cs2RbH (SCAN).

Raw total energy ... -25.017 eV/atom
Space group ... I-42d, No. 122

Lattice parameters (Å, degrees): 9.3686 9.3686 12.7999 90.00 90.00 90.00
Closest atoms and distances in Å follow each position.
Element x y z (fractional)
Cs (0.0617, 0.2500, 0.1250)  2 H 2.89
Cs (0.2500, 0.5617, 0.3750)  2 H 2.89
Cs (0.2500, 0.9383, 0.8750)  2 H 2.89
Cs (0.4383, 0.2500, 0.6250)  2 H 2.89
Cs (0.5617, 0.7500, 0.6250)  2 H 2.89
Cs (0.7500, 0.0617, 0.8750)  2 H 2.89
Cs (0.7500, 0.4383, 0.3750)  2 H 2.89
Cs (0.9383, 0.7500, 0.1250)  2 H 2.89
Rb (0.0000, 0.0000, 0.5000)  8 Cs 4.99-5.37
Rb (0.0000, 0.5000, 0.7500)  8 Cs 4.99-5.37
Rb (0.5000, 0.0000, 0.2500)  8 Cs 4.99-5.37
Rb (0.5000, 0.5000, 0.0000)  8 Cs 4.99-5.37
H (0.0000, 0.0000, 0.0000)  4 Cs 2.89
H (0.0000, 0.5000, 0.2500)  4 Cs 2.89
H (0.5000, 0.0000, 0.7500)  4 Cs 2.89
H (0.5000, 0.5000, 0.5000)  4 Cs 2.89

Entry from the Alexandria database: a PBEsol-optimized structure of ReW5 (SCAN).

DFT formation energy ... 0.07 eV per formula unit
ΔE to the lowest computed polymorph ... 2.6 meV per atom
Space group ... C2/m, No. 12

Lattice parameters (Å, degrees): 9.9320 3.1412 6.2858 90.00 108.52 90.00
Closest atoms and distances in Å follow each position.
Element x y z (fractional)
Re (0.0000, 0.0000, 0.0000)  8 W 2.72-2.73
Re (0.5000, 0.5000, 0.0000)  8 W 2.72-2.73
W (0.0000, 0.0000, 0.5000)  8 W 2.72-2.73
W (0.1660, 0.5000, 0.3332)  2 Re 2.72, 6 W 2.72
W (0.1680, 0.5000, 0.8338)  6 W 2.71-2.73, 2 Re 2.73
W (0.3320, 0.0000, 0.1662)  6 W 2.71-2.73, 2 Re 2.73
W (0.3340, 0.0000, 0.6668)  2 Re 2.72, 6 W 2.72
W (0.5000, 0.5000, 0.5000)  8 W 2.72-2.73
W (0.6660, 0.0000, 0.3332)  2 Re 2.72, 6 W 2.72
W (0.6680, 0.0000, 0.8338)  6 W 2.71-2.73, 2 Re 2.73
W (0.8320, 0.5000, 0.1662)  6 W 2.71-2.73, 2 Re 2.73
W (0.8340, 0.5000, 0.6668)  2 Re 2.72, 6 W 2.72

no.,DOS(E_F) (states/eV per cell)
1,4.01
2,6.52
3,4.11
4,9.16
5,6.50
6,6.66